12
Lattice="-2.381 4.665 -0.078 -3.305 -4.063 0.076 2.759 -0.135 8.901" Properties=species:S:1:pos:R:3 comment="ErPdAu4 (PBE, optimized geometry)" delta_e_f_ev_per_atom=-0.52 polymorph_energy_mev_per_atom=0.0 n_ef_per_ev_atom=0.3561 total_energy_ev_per_atom=-4.330 pbc="T T T"
Er -4.264 0.449 -0.001
Er -0.273 -2.097 4.488
Pd 1.337 0.010 8.900
Pd -3.115 -1.793 4.487
Au -1.472 0.258 5.858
Au 1.371 -0.035 6.005
Au -0.307 -2.041 7.529
Au 0.155 2.315 7.307
Au -2.620 2.510 1.370
Au -3.083 -1.857 1.592
Au -1.455 0.209 2.895
Au -4.298 0.508 3.040